Compound: Na2NbF6
Source: the Alexandria database
Functional: PBE-GGA
Structure: relaxed

size of the total moment = 0.11 μB/atom
electronic total energy = -100.43 eV for the cell shown
crystal system = tetragonal

The structure in CIF format:
```
data_Na2NbF6
_symmetry_space_group_name_H-M 'P 1'
_symmetry_Int_Tables_number 1
_cell_length_a 5.111
_cell_length_b 5.111
_cell_length_c 10.449
_cell_angle_alpha 90.00
_cell_angle_beta 90.00
_cell_angle_gamma 90.00
loop_
_symmetry_equiv_pos_as_xyz
'x,y,z'
loop_
_atom_site_label
_atom_site_type_symbol
_atom_site_fract_x
_atom_site_fract_y
_atom_site_fract_z
_atom_site_occupancy
F1 F 0.314 0.314 0.647 1
F2 F 0.686 0.686 0.353 1
F3 F 0.814 0.186 0.147 1
F4 F 0.773 0.227 0.500 1
F5 F 0.273 0.273 0.000 1
F6 F 0.186 0.814 0.853 1
F7 F 0.686 0.686 0.647 1
F8 F 0.314 0.314 0.353 1
F9 F 0.186 0.814 0.147 1
F10 F 0.814 0.186 0.853 1
F11 F 0.727 0.727 0.000 1
F12 F 0.227 0.773 0.500 1
Na1 Na 0.000 0.000 0.667 1
Na2 Na 0.000 0.000 0.333 1
Na3 Na 0.500 0.500 0.833 1
Na4 Na 0.500 0.500 0.167 1
Nb1 Nb 0.500 0.500 0.500 1
Nb2 Nb 0.000 0.000 0.000 1
```